This record from Alexandria via LeMat-Bulk describes Tl2Ga2Sb after structural relaxation. The functional is PBE.

Unit cell a=4.5750 b=4.5750 c=7.3090 alpha=71.76 beta=71.76 gamma=90.00
Fractional coordinates of all 5 atoms:
Ga: 0.4059 0.4059 0.1882
Ga: 0.5941 0.5941 0.8118
Tl: 0.2500 0.7500 0.5000
Tl: 0.7500 0.2500 0.5000
Sb: 0.0000 0.0000 0.0000

Density   8.11 g/cm³
ΔE_f (raw)   1.1 eV/f.u.